[1]
Below is a relaxed YAg2Br crystal, with properties calculated at the PBE level.

Cell: 5.1337 5.1337 5.1337 Å, 60.00 60.00 60.00°
Sites, in units of the cell vectors:
Y 0.5000 0.5000 0.5000
Br 0.0000 0.0000 0.0000
Ag 0.2500 0.2500 0.2500
Ag 0.7500 0.7500 0.7500

Values from the calculation:
- M_tot: 0.000 μB/f.u.
- ρ: 6.7 g/cm³
- Space group: Fm-3m (225)
- Formation energy from raw total energies: -0.040 eV per atom
- Electronic total energy: -3.4994 eV per atom
- Excess energy over the best structure of this formula in the dataset: 419 meV/atom


[2]
Below is a relaxed Pm3CoBr3 crystal, with properties calculated at the PBE level.

Cell: 4.0389 8.8489 11.9767 Å, 92.73 90.00 90.00°
Sites, in units of the cell vectors:
Pm 0.2500 0.3095 0.6184
Pm 0.7500 0.6905 0.3816
Pm 0.2500 0.8911 0.6190
Pm 0.7500 0.1089 0.3810
Pm 0.2500 0.8819 0.1611
Pm 0.7500 0.1181 0.8389
Co 0.2500 0.8982 0.3821
Co 0.7500 0.1018 0.6179
Br 0.2500 0.3968 0.3707
Br 0.7500 0.6032 0.6293
Br 0.2500 0.8732 0.8872
Br 0.7500 0.1268 0.1128
Br 0.2500 0.3660 0.8699
Br 0.7500 0.6340 0.1301

Values from the calculation:
- M_tot: 0.000 μB/f.u.
- ρ: 5.7 g/cm³
- Space group: P2_1/m (11)
- Formation energy from raw total energies: -1.176 eV per atom
- Electronic total energy: -4.9442 eV per atom


[3]
Below is a relaxed Ca2TmAgS4 crystal, with properties calculated at the PBE level.

Cell: 3.9888 6.8898 6.8433 Å, 109.60 90.00 90.00°
Sites, in units of the cell vectors:
Ca 0.5000 0.0000 0.5000
Ca 0.0000 0.5000 0.5000
Tm 0.5000 0.5000 0.0000
Ag 0.0000 0.0000 0.0000
S 0.5000 0.2577 0.2426
S 0.5000 0.7423 0.7574
S 0.0000 0.2639 0.7579
S 0.0000 0.7361 0.2421

Values from the calculation:
- M_tot: 0.000 μB/f.u.
- ρ: 4.5 g/cm³
- Space group: P2/m (10)
- Formation energy from raw total energies: -1.687 eV per atom
- Electronic total energy: -5.1669 eV per atom


[4]
Below is a relaxed SrMg2Ge2 crystal, with properties calculated at the PBE level.

Cell: 8.2995 8.2995 3.2660 Å, 90.00 90.00 90.00°
Sites, in units of the cell vectors:
Sr 0.0000 0.0000 0.0000
Sr 0.5000 0.5000 0.0000
Ge 0.1715 0.6715 0.5000
Ge 0.6715 0.8285 0.5000
Ge 0.8285 0.3285 0.5000
Ge 0.3285 0.1715 0.5000
Mg 0.3769 0.8769 0.0000
Mg 0.8769 0.6231 0.0000
Mg 0.6231 0.1231 0.0000
Mg 0.1231 0.3769 0.0000

Values from the calculation:
- M_tot: 0.000 μB/f.u.
- ρ: 4.2 g/cm³
- Space group: P4/mbm (127)
- Electronic total energy: -3.0399 eV per atom


[5]
Below is a relaxed LaTaCl crystal, with properties calculated at the PBE level.

Cell: 4.7634 4.7634 4.7634 Å, 60.00 60.00 60.00°
Site moments in Bohr magnetons follow the coordinates.
Sites, in units of the cell vectors:
Cl 0.7500 0.7500 0.7500  0.01
La 0.0000 0.0000 0.0000  0.03
Ta 0.5000 0.5000 0.5000  0.53

Values from the calculation:
- M_tot: 0.843 μB/f.u.
- ρ: 7.7 g/cm³
- Space group: F-43m (216)
- Formation energy from raw total energies: 0.495 eV per atom
- Electronic total energy: -5.7137 eV per atom
- Excess energy over the best structure of this formula in the dataset: 631 meV/atom


[6]
Below is a relaxed LiPm2Mg7 crystal, with properties calculated at the PBE level.

Cell: 7.1616 7.1616 7.1616 Å, 60.00 60.00 60.00°
Sites, in units of the cell vectors:
Li 0.0000 0.0000 0.0000
Pm 0.2500 0.2500 0.2500
Pm 0.7500 0.7500 0.7500
Mg 0.5000 0.5000 0.5000
Mg 0.2379 0.7621 0.7621
Mg 0.2379 0.7621 0.2379
Mg 0.7621 0.2379 0.7621
Mg 0.7621 0.7621 0.2379
Mg 0.2379 0.2379 0.7621
Mg 0.7621 0.2379 0.2379

Values from the calculation:
- M_tot: 0.000 μB/f.u.
- ρ: 3.0 g/cm³
- Space group: Fm-3m (225)
- Electronic total energy: -2.0747 eV per atom


[7]
Below is a relaxed Tb4BiRu2 crystal, with properties calculated at the PBE level.

Cell: 8.8000 7.9433 7.0057 Å, 106.80 109.58 115.22°
Sites, in units of the cell vectors:
Tb 0.8989 0.1981 0.3516
Tb 0.4609 0.5275 0.2983
Tb 0.9071 0.6060 0.6412
Tb 0.7197 0.1633 0.7801
Tb 0.3909 0.0202 0.2258
Tb 0.2684 0.1340 0.7146
Tb 0.4123 0.6573 0.8351
Tb 0.8328 0.6804 0.1254
Bi 0.1934 0.6702 0.3691
Bi 0.0293 0.0582 0.9969
Ru 0.5598 0.3901 0.6440
Ru 0.8309 0.9151 0.5040
Ru 0.6285 0.3040 0.1382
Ru 0.1171 0.4256 0.8756

Values from the calculation:
- M_tot: 0.000 μB/f.u.
- ρ: 9.7 g/cm³
- Space group: P1 (1)
- Electronic total energy: -6.2207 eV per atom


[8]
Below is a relaxed NpPdBr crystal, with properties calculated at the PBE level.

Cell: 3.3956 4.5435 10.7450 Å, 99.68 108.88 68.06°
Sites, in units of the cell vectors:
Np 0.7860 0.3222 0.4483
Np 0.2140 0.6778 0.5517
Pd 0.3588 0.8935 0.3103
Pd 0.6412 0.1065 0.6897
Br 0.4903 0.7057 0.8351
Br 0.5097 0.2943 0.1649

Values from the calculation:
- M_tot: 0.001 μB/f.u.
- ρ: 9.7 g/cm³
- Space group: P-1 (2)
- Formation energy from raw total energies: -0.310 eV per atom
- Electronic total energy: -6.9126 eV per atom